1.
## Na3SiN (PBEsol)

Data for a relaxed structure of Na3SiN.

Cell and atoms, written as extended XYZ:
```
5
Lattice="-4.6860 3.0196 0.3929 -3.0448 -4.6368 -0.6781 -0.0404 -0.7827 5.5332" Properties=species:S:1:pos:R:3 pbc="T T T"
Na -0.0202 -0.3913 2.7666
Na -1.5224 -2.3184 -0.3390
Na -2.3430 1.5098 0.1965
N -3.8855 -1.2000 2.6240
Si 0.0000 0.0000 0.0000
```

Computed properties:
For the total magnetization, the calculation gives 4.036 Bohr magnetons per cell. The calculated total energy comes out at -0.0907 Ha/atom. The value obtained for the uncorrected formation energy is 1.226 eV per atom. As for the crystal system: cubic.


2.
## Nb2InFeH (PBEsol)

Data for a relaxed structure of Nb2InFeH.

Cell and atoms, written as extended XYZ:
```
5
Lattice="4.4874 0.0000 0.0000 0.0000 4.4874 0.0000 0.0000 0.0000 4.8143" Properties=species:S:1:pos:R:3 pbc="T T T"
Nb 2.2437 0.0000 0.0000
Nb 0.0000 2.2437 0.0000
H 2.2437 2.2437 2.4071
In 0.0000 0.0000 2.4071
Fe 0.0000 0.0000 0.0000
```

Computed properties:
For the total magnetization, the calculation gives 0.000 Bohr magnetons per cell. The calculated total energy comes out at -0.2281 Ha/atom. As for the crystal system: tetragonal.


3.
## BeF2 (PBEsol)

Data for a relaxed structure of BeF2.

Cell and atoms, written as extended XYZ:
```
9
Lattice="-1.5381 -4.3286 -1.0945 3.2772 2.0896 -2.6821 3.7260 -2.0678 2.9418" Properties=species:S:1:pos:R:3 pbc="T T T"
Be 1.0416 -3.3455 0.8864
Be 4.8551 -0.6073 1.0192
Be 1.4314 -1.3880 -1.2695
F 1.8619 -4.4231 0.1285
F 4.3360 -3.8746 0.4186
F 2.9148 -1.8214 -1.4532
F 1.3369 0.1524 -1.1055
F 0.8657 -2.0784 0.0001
F 5.0802 -0.8754 -0.4927
```

Computed properties:
For the total magnetization, the calculation gives 0.000 Bohr magnetons per cell. The calculated total energy comes out at -0.2160 Ha/atom. The value obtained for the uncorrected formation energy is -3.259 eV per atom. As for the crystal system: trigonal.